(1)
Below is a relaxed AcCd3Pb3 crystal, with properties calculated at the GGA-PBE level.

abc: 8.0401 8.0401 8.0401
angles: 90.00 90.00 90.00
Closest atoms and distances in Å follow each position.
Fractional positions:
Ac: 0.0000 0.0000 0.0000  12 Cd 4.49, 12 Pb 4.49
Ac: 0.5000 0.5000 0.5000  12 Cd 4.49, 12 Pb 4.49
Cd: 0.0000 0.2500 0.5000  4 Pb 2.84
Cd: 0.0000 0.7500 0.5000  4 Pb 2.84
Cd: 0.2500 0.5000 0.0000  4 Pb 2.84
Cd: 0.5000 0.0000 0.2500  4 Pb 2.84
Cd: 0.5000 0.0000 0.7500  4 Pb 2.84
Cd: 0.7500 0.5000 0.0000  4 Pb 2.84
Pb: 0.0000 0.5000 0.2500  4 Cd 2.84
Pb: 0.0000 0.5000 0.7500  4 Cd 2.84
Pb: 0.2500 0.0000 0.5000  4 Cd 2.84
Pb: 0.5000 0.2500 0.0000  4 Cd 2.84
Pb: 0.5000 0.7500 0.0000  4 Cd 2.84
Pb: 0.7500 0.0000 0.5000  4 Cd 2.84

formation enthalpy at 0 K	0.2752	eV/atom

=====

(2)
Below is a relaxed PrHo5Sc2 crystal, with properties calculated at the GGA-PBE level.

abc: 6.9733 6.9733 6.9733
angles: 120.47 120.47 89.19
Closest atoms and distances in Å follow each position.
Fractional positions:
Pr: 0.0000 0.0000 0.0000  4 Sc 3.46, 8 Ho 3.49
Ho: 0.0000 0.0000 0.5000  6 Ho 3.46-3.49, 4 Sc 3.49, 2 Pr 3.49
Ho: 0.0000 0.5000 0.0000  6 Ho 3.46-3.49, 4 Sc 3.49, 2 Pr 3.49
Ho: 0.5000 0.0000 0.0000  6 Ho 3.46-3.49, 4 Sc 3.49, 2 Pr 3.49
Ho: 0.5000 0.5000 0.0000  4 Sc 3.46, 8 Ho 3.49
Ho: 0.5000 0.5000 0.5000  6 Ho 3.46-3.49, 4 Sc 3.49, 2 Pr 3.49
Sc: 0.0000 0.5000 0.5000  2 Pr 3.46, 10 Ho 3.46-3.49
Sc: 0.5000 0.0000 0.5000  2 Pr 3.46, 10 Ho 3.46-3.49

formation enthalpy at 0 K	0.0418	eV/atom
distance to the lowest polymorph of the same formula	8	meV/atom

=====

(3)
Below is a relaxed LiRu2Cl crystal, with properties calculated at the GGA-PBE level.

abc: 8.6255 8.6255 8.6255
angles: 18.81 18.81 18.81
Closest atoms and distances in Å follow each position.
Fractional positions:
Li: 0.0000 0.0000 0.0000  6 Ru 2.77, 6 Li 2.82
Ru: 0.2452 0.2452 0.2452  3 Cl 2.58, 3 Li 2.77, 6 Ru 2.82
Ru: 0.7548 0.7548 0.7548  3 Cl 2.58, 3 Li 2.77, 6 Ru 2.82
Cl: 0.5000 0.5000 0.5000  6 Ru 2.58, 6 Cl 2.82

uncorrected formation energy	0.597	eV per atom
distance to the lowest polymorph of the same formula	653	meV/atom

=====

(4)
Below is a relaxed ScWSe2 crystal, with properties calculated at the GGA-PBE level.

abc: 4.6104 4.6104 3.2275
angles: 90.00 90.00 90.00
Closest atoms and distances in Å follow each position.
Fractional positions:
Sc: 0.0000 0.0000 0.0000  8 Se 2.81
W: 0.5000 0.5000 0.0000  8 Se 2.81
Se: 0.0000 0.5000 0.5000  4 W 2.81, 4 Sc 2.81
Se: 0.5000 0.0000 0.5000  4 W 2.81, 4 Sc 2.81

uncorrected formation energy	-0.371	eV per atom
distance to the lowest polymorph of the same formula	196	meV/atom

=====

(5)
Below is a relaxed TaAl2As crystal, with properties calculated at the GGA-PBE level.

abc: 2.8575 2.8575 8.5078
angles: 90.00 90.00 90.00
Closest atoms and distances in Å follow each position.
Fractional positions:
Ta: 0.0000 0.0000 0.0000  8 Al 2.85, 4 Ta 2.86
Al: 0.5000 0.5000 0.2361  4 Ta 2.85, 4 Al 2.86, 4 As 3.02
Al: 0.5000 0.5000 0.7639  4 Ta 2.85, 4 Al 2.86, 4 As 3.02
As: 0.0000 0.0000 0.5000  4 As 2.86, 8 Al 3.02

formation enthalpy at 0 K	0.0015	eV/atom

=====

(6)
Below is a relaxed In6BiBr12 crystal, with properties calculated at the GGA-PBE level.

abc: 11.6326 11.6326 11.6326
angles: 115.88 115.88 115.88
Closest atoms and distances in Å follow each position.
Fractional positions:
In: 0.1082 0.3599 0.2600  2 Br 2.51-2.78
In: 0.2600 0.1082 0.3599  2 Br 2.51-2.78
In: 0.3599 0.2600 0.1082  2 Br 2.51-2.78
In: 0.6401 0.7400 0.8918  2 Br 2.51-2.78
In: 0.7400 0.8918 0.6401  2 Br 2.51-2.78
In: 0.8918 0.6401 0.7400  2 Br 2.51-2.78
Bi: 0.5000 0.5000 0.5000  6 In 3.11
Br: 0.0160 0.8902 0.6956  3 In 2.78-3.02
Br: 0.1098 0.3044 0.9840  3 In 2.78-3.02
Br: 0.1205 0.6065 0.4070  1 In 2.51
Br: 0.3044 0.9840 0.1098  3 In 2.78-3.02
Br: 0.3935 0.5930 0.8795  1 In 2.51
Br: 0.4070 0.1205 0.6065  1 In 2.51
Br: 0.5930 0.8795 0.3935  1 In 2.51
Br: 0.6065 0.4070 0.1205  1 In 2.51
Br: 0.6956 0.0160 0.8902  3 In 2.78-3.02
Br: 0.8795 0.3935 0.5930  1 In 2.51
Br: 0.8902 0.6956 0.0160  3 In 2.78-3.02
Br: 0.9840 0.1098 0.3044  3 In 2.78-3.02

uncorrected formation energy	-0.551	eV per atom

=====

(7)
Below is a relaxed SrP3Au crystal, with properties calculated at the GGA-PBE level.

abc: 5.4529 5.4529 5.4529
angles: 90.00 90.00 90.00
Closest atoms and distances in Å follow each position.
Fractional positions:
Sr: 0.0000 0.0000 0.0000  6 P 2.73
P: 0.0000 0.0000 0.5000  2 Sr 2.73
P: 0.0000 0.5000 0.0000  2 Sr 2.73
P: 0.5000 0.0000 0.0000  2 Sr 2.73
Au: 0.5000 0.5000 0.5000  12 P 3.86

formation enthalpy at 0 K	1.5815	eV/atom
distance to the lowest polymorph of the same formula	1320	meV/atom

=====

(8)
Below is a relaxed PrHo3Ir8 crystal, with properties calculated at the GGA-PBE level.

abc: 9.3125 9.3125 9.3125
angles: 33.57 33.57 33.57
Closest atoms and distances in Å follow each position.
Fractional positions:
Pr: 0.0000 0.0000 0.0000  12 Ir 3.16-3.18, 4 Ho 3.30
Ho: 0.3761 0.3761 0.3761  12 Ir 3.16-3.20, 1 Ho 3.28, 3 Pr 3.30
Ho: 0.5006 0.5006 0.5006  12 Ir 3.12-3.15, 4 Ho 3.28-3.29
Ho: 0.8746 0.8746 0.8746  12 Ir 3.11-3.15, 3 Ho 3.29, 1 Pr 3.30
Ir: 0.1876 0.1876 0.1876  6 Ir 2.67
Ir: 0.4369 0.4369 0.9359  6 Ir 2.67-2.71
Ir: 0.4369 0.9359 0.4369  6 Ir 2.67-2.71
Ir: 0.4401 0.9381 0.9381  6 Ir 2.67-2.70
Ir: 0.6879 0.6879 0.6879  6 Ir 2.70-2.71
Ir: 0.9359 0.4369 0.4369  6 Ir 2.67-2.71
Ir: 0.9381 0.4401 0.9381  6 Ir 2.67-2.70
Ir: 0.9381 0.9381 0.4401  6 Ir 2.67-2.70

formation enthalpy at 0 K	-0.7746	eV/atom
distance to the lowest polymorph of the same formula	0	meV/atom